#a
DFT (GGA-PBEsol) results for a relaxed structure of K2FeAg.

Cell and atoms, written as CIF:
```
data_K2FeAg
_chemical_formula_sum 'K4 Fe2 Ag2'
_space_group_name_H-M_alt 'I m m 2'
_space_group_IT_number 44
_cell_length_a 4.179
_cell_length_b 5.607
_cell_length_c 10.576
_cell_angle_alpha 90.00
_cell_angle_beta 90.00
_cell_angle_gamma 90.00
loop_
_space_group_symop_operation_xyz
'x,y,z'
'-x,-y,z'
'-x,y,z'
'x,-y,z'
'x+1/2,y+1/2,z+1/2'
'-x+1/2,-y+1/2,z+1/2'
'-x+1/2,y+1/2,z+1/2'
'x+1/2,-y+1/2,z+1/2'
loop_
_atom_site_label
_atom_site_fract_x
_atom_site_fract_y
_atom_site_fract_z
_atom_site_occupancy
K1 0.000 0.000 0.000 1
K2 0.000 0.500 0.204 1
Fe1 0.000 0.000 0.408 1
Ag1 0.000 0.500 0.779 1
```

Values from the calculation:
For the density of states at the Fermi level, the calculation gives 11.6 states/eV per cell.



#b
DFT (GGA-PBEsol) results for a relaxed structure of K2FeAg.

Cell and atoms, written as CIF:
```
data_K2FeAg
_chemical_formula_sum 'K8 Fe4 Ag4'
_space_group_name_H-M_alt 'F -4 3 m'
_space_group_IT_number 216
_space_group_name_Hall 'F -4 2 3'
_cell_length_a 7.464
_cell_length_b 7.464
_cell_length_c 7.464
_cell_angle_alpha 90.00
_cell_angle_beta 90.00
_cell_angle_gamma 90.00
loop_
_atom_site_label
_atom_site_fract_x
_atom_site_fract_y
_atom_site_fract_z
_atom_site_occupancy
K1 0.000 0.000 0.000 1
K2 0.250 0.250 0.250 1
Fe1 0.250 0.250 0.750 1
Ag1 0.000 0.000 0.500 1
```

Values from the calculation:
For the density of states at the Fermi level, the calculation gives 7.9 states/eV per cell.



#c
DFT (GGA-PBEsol) results for a relaxed structure of K2FeAg.

Cell and atoms, written as CIF:
```
data_K2FeAg
_chemical_formula_sum 'K2 Fe1 Ag1'
_space_group_name_H-M_alt 'P 4/m m m'
_space_group_IT_number 123
_space_group_name_Hall '-P 4 2'
_cell_length_a 3.095
_cell_length_b 3.095
_cell_length_c 10.524
_cell_angle_alpha 90.00
_cell_angle_beta 90.00
_cell_angle_gamma 90.00
loop_
_atom_site_label
_atom_site_fract_x
_atom_site_fract_y
_atom_site_fract_z
_atom_site_occupancy
K1 0.000 0.000 0.249 1
Fe1 0.500 0.500 0.500 1
Ag1 0.500 0.500 0.000 1
```

Values from the calculation:
For the density of states at the Fermi level, the calculation gives 6.1 states/eV per cell.



Stability verdict: #a, ahead by 10.1 kJ/mol of atoms



#a
DFT (GGA-PBEsol) results for a relaxed structure of KFe2Ag.

Cell and atoms, written as CIF:
```
data_KFe2Ag
_chemical_formula_sum 'K2 Fe4 Ag2'
_space_group_name_H-M_alt 'C 1 m 1'
_space_group_IT_number 8
_cell_length_a 8.041
_cell_length_b 2.752
_cell_length_c 7.229
_cell_angle_alpha 90.00
_cell_angle_beta 96.08
_cell_angle_gamma 90.00
loop_
_space_group_symop_operation_xyz
'x,y,z'
'x,-y,z'
'x+1/2,y+1/2,z'
'x+1/2,-y+1/2,z'
loop_
_atom_site_label
_atom_site_fract_x
_atom_site_fract_y
_atom_site_fract_z
_atom_site_occupancy
K1 0.000 0.000 0.000 1
Fe1 0.276 0.500 0.353 1
Fe2 0.492 0.000 0.442 1
Ag1 0.228 0.000 0.656 1
```

Values from the calculation:
For the density of states at the Fermi level, the calculation gives 7.3 states/eV per cell.



#b
DFT (GGA-PBEsol) results for a relaxed structure of KFe2Ag.

Cell and atoms, written as CIF:
```
data_KFe2Ag
_chemical_formula_sum 'K1 Fe2 Ag1'
_space_group_name_H-M_alt 'P 4 m m'
_space_group_IT_number 99
_cell_length_a 2.988
_cell_length_b 2.988
_cell_length_c 8.159
_cell_angle_alpha 90.00
_cell_angle_beta 90.00
_cell_angle_gamma 90.00
loop_
_space_group_symop_operation_xyz
'x,y,z'
'-y,x,z'
'-x,-y,z'
'y,-x,z'
'-x,y,z'
'y,x,z'
'x,-y,z'
'-y,-x,z'
loop_
_atom_site_label
_atom_site_fract_x
_atom_site_fract_y
_atom_site_fract_z
_atom_site_occupancy
K1 0.000 0.000 0.000 1
Fe1 0.000 0.000 0.549 1
Fe2 0.500 0.500 0.673 1
Ag1 0.500 0.500 0.333 1
```

Values from the calculation:
For the density of states at the Fermi level, the calculation gives 3.3 states/eV per cell.



Stability verdict: #b, ahead by 14.2 kJ/mol of atoms



#a
DFT (GGA-PBEsol) results for a relaxed structure of KFeAg2.

Cell and atoms, written as CIF:
```
data_KFeAg2
_chemical_formula_sum 'K3 Fe3 Ag6'
_space_group_name_H-M_alt 'R -3 m'
_space_group_IT_number 166
_space_group_name_Hall '-R 3 2"'
_cell_length_a 2.9198
_cell_length_b 2.9198
_cell_length_c 29.9851
_cell_angle_alpha 90.00
_cell_angle_beta 90.00
_cell_angle_gamma 120.00
loop_
_atom_site_label
_atom_site_fract_x
_atom_site_fract_y
_atom_site_fract_z
_atom_site_occupancy
K1 0.0000 0.0000 0.0000 1
Fe1 0.0000 0.0000 0.5000 1
Ag1 0.0000 0.0000 0.2373 1
```

Values from the calculation:
For the density of states at the Fermi level, the calculation gives 10.5 states/eV per cell.



#b
DFT (GGA-PBEsol) results for a relaxed structure of KFeAg2.

Cell and atoms, written as CIF:
```
data_KFeAg2
_chemical_formula_sum 'K2 Fe2 Ag4'
_space_group_name_H-M_alt 'I 4/m m m'
_space_group_IT_number 139
_space_group_name_Hall '-I 4 2'
_cell_length_a 4.759
_cell_length_b 4.759
_cell_length_c 7.109
_cell_angle_alpha 90.00
_cell_angle_beta 90.00
_cell_angle_gamma 90.00
loop_
_atom_site_label
_atom_site_fract_x
_atom_site_fract_y
_atom_site_fract_z
_atom_site_occupancy
K1 0.000 0.000 0.000 1
Fe1 0.000 0.000 0.500 1
Ag1 0.000 0.500 0.250 1
```

Values from the calculation:
For the density of states at the Fermi level, the calculation gives 9.3 states/eV per cell.



Stability verdict: #a, ahead by 24.3 kJ/mol of atoms



#a
DFT (GGA-PBEsol) results for a relaxed structure of FeAgMo2.

Cell and atoms, written as CIF:
```
data_FeAgMo2
_chemical_formula_sum 'Fe2 Ag2 Mo4'
_space_group_name_H-M_alt 'I m m 2'
_space_group_IT_number 44
_cell_length_a 2.855
_cell_length_b 4.539
_cell_length_c 8.977
_cell_angle_alpha 90.00
_cell_angle_beta 90.00
_cell_angle_gamma 90.00
loop_
_space_group_symop_operation_xyz
'x,y,z'
'-x,-y,z'
'-x,y,z'
'x,-y,z'
'x+1/2,y+1/2,z+1/2'
'-x+1/2,-y+1/2,z+1/2'
'-x+1/2,y+1/2,z+1/2'
'x+1/2,-y+1/2,z+1/2'
loop_
_atom_site_label
_atom_site_fract_x
_atom_site_fract_y
_atom_site_fract_z
_atom_site_occupancy
Fe1 0.000 0.000 0.000 1
Ag1 0.000 0.500 0.746 1
Mo1 0.000 0.000 0.531 1
Mo2 0.000 0.500 0.290 1
```

Values from the calculation:
For the density of states at the Fermi level, the calculation gives 6.7 states/eV per cell.



#b
DFT (GGA-PBEsol) results for a relaxed structure of FeAgMo2.

Cell and atoms, written as CIF:
```
data_FeAgMo2
_chemical_formula_sum 'Fe2 Ag2 Mo4'
_space_group_name_H-M_alt 'C m m m'
_space_group_IT_number 65
_space_group_name_Hall '-C 2 2'
_cell_length_a 5.302
_cell_length_b 8.257
_cell_length_c 2.615
_cell_angle_alpha 90.00
_cell_angle_beta 90.00
_cell_angle_gamma 90.00
loop_
_atom_site_label
_atom_site_fract_x
_atom_site_fract_y
_atom_site_fract_z
_atom_site_occupancy
Fe1 0.000 0.000 0.000 1
Ag1 0.000 0.500 0.000 1
Mo1 0.250 0.250 0.500 1
```

Values from the calculation:
For the density of states at the Fermi level, the calculation gives 8.0 states/eV per cell.



Stability verdict: #b, ahead by 9.3 kJ/mol of atoms



#a
DFT (GGA-PBEsol) results for a relaxed structure of FeAgPb2.

Cell and atoms, written as CIF:
```
data_FeAgPb2
_chemical_formula_sum 'Fe2 Ag2 Pb4'
_space_group_name_H-M_alt 'A m m 2'
_space_group_IT_number 38
_cell_length_a 4.291
_cell_length_b 3.710
_cell_length_c 10.463
_cell_angle_alpha 90.00
_cell_angle_beta 90.00
_cell_angle_gamma 90.00
loop_
_space_group_symop_operation_xyz
'x,y,z'
'-x,-y,z'
'-x,y,z'
'x,-y,z'
'x,y+1/2,z+1/2'
'-x,-y+1/2,z+1/2'
'-x,y+1/2,z+1/2'
'x,-y+1/2,z+1/2'
loop_
_atom_site_label
_atom_site_fract_x
_atom_site_fract_y
_atom_site_fract_z
_atom_site_occupancy
Fe1 0.000 0.000 0.000 1
Ag1 0.500 0.000 0.154 1
Pb1 0.000 0.000 0.727 1
Pb2 0.500 0.000 0.436 1
```

Values from the calculation:
For the density of states at the Fermi level, the calculation gives 5.6 states/eV per cell.



#b
DFT (GGA-PBEsol) results for a relaxed structure of FeAgPb2.

Cell and atoms, written as CIF:
```
data_FeAgPb2
_chemical_formula_sum 'Fe2 Ag2 Pb4'
_space_group_name_H-M_alt 'I m m m'
_space_group_IT_number 71
_space_group_name_Hall '-I 2 2'
_cell_length_a 4.512
_cell_length_b 4.537
_cell_length_c 8.144
_cell_angle_alpha 90.00
_cell_angle_beta 90.00
_cell_angle_gamma 90.00
loop_
_atom_site_label
_atom_site_fract_x
_atom_site_fract_y
_atom_site_fract_z
_atom_site_occupancy
Fe1 0.000 0.000 0.000 1
Ag1 0.000 0.000 0.500 1
Pb1 0.000 0.500 0.251 1
```

Values from the calculation:
For the density of states at the Fermi level, the calculation gives 6.2 states/eV per cell.



Stability verdict: #a, ahead by 15.0 kJ/mol of atoms



#a
DFT (GGA-PBEsol) results for a relaxed structure of FeAgRu2.

Cell and atoms, written as CIF:
```
data_FeAgRu2
_chemical_formula_sum 'Fe1 Ag1 Ru2'
_space_group_name_H-M_alt 'P 4/m m m'
_space_group_IT_number 123
_space_group_name_Hall '-P 4 2'
_cell_length_a 3.754
_cell_length_b 3.754
_cell_length_c 3.841
_cell_angle_alpha 90.00
_cell_angle_beta 90.00
_cell_angle_gamma 90.00
loop_
_atom_site_label
_atom_site_fract_x
_atom_site_fract_y
_atom_site_fract_z
_atom_site_occupancy
Fe1 0.000 0.000 0.000 1
Ag1 0.500 0.500 0.000 1
Ru1 0.000 0.500 0.500 1
```

Values from the calculation:
For the density of states at the Fermi level, the calculation gives 4.5 states/eV per cell.



#b
DFT (GGA-PBEsol) results for a relaxed structure of FeAgRu2.

Cell and atoms, written as CIF:
```
data_FeAgRu2
_chemical_formula_sum 'Fe2 Ag2 Ru4'
_space_group_name_H-M_alt 'C m m 2'
_space_group_IT_number 35
_cell_length_a 2.755
_cell_length_b 4.478
_cell_length_c 9.033
_cell_angle_alpha 90.00
_cell_angle_beta 90.00
_cell_angle_gamma 90.00
loop_
_space_group_symop_operation_xyz
'x,y,z'
'-x,-y,z'
'-x,y,z'
'x,-y,z'
'x+1/2,y+1/2,z'
'-x+1/2,-y+1/2,z'
'-x+1/2,y+1/2,z'
'x+1/2,-y+1/2,z'
loop_
_atom_site_label
_atom_site_fract_x
_atom_site_fract_y
_atom_site_fract_z
_atom_site_occupancy
Fe1 0.000 0.000 0.000 1
Ag1 0.000 0.500 0.255 1
Ru1 0.000 0.000 0.527 1
Ru2 0.000 0.500 0.770 1
```

Values from the calculation:
For the density of states at the Fermi level, the calculation gives 11.5 states/eV per cell.



Stability verdict: #b, ahead by 3.1 kJ/mol of atoms